1.
An optimized crystal structure of CdNi2Cl. Source: Alexandria via LeMat-Bulk, functional PBE-GGA.

Geometry as POSCAR:
```
CdNi2Cl
1.0
-2.038 2.038 3.747
2.038 -2.038 3.747
2.038 2.038 -3.747
Cd Ni Cl
1 2 1
Cartesian
0.000 0.000 0.000
2.038 0.000 1.874
0.000 2.038 1.874
0.000 0.000 3.747
```

Output
DOS at the Fermi energy ... 6.1 states/eV/cell
Formation energy without anion corrections ... 0.480 eV per atom
Total energy ... -3.101 eV/atom
SG ... No. 139
Relative energy among the computed polymorphs ... 447.9 meV/atom

=====

2.
An optimized crystal structure of CdNi2Cl. Source: Alexandria via LeMat-Bulk, functional PBE-GGA.

Geometry as POSCAR:
```
CdNi2Cl
1.0
4.580 -1.487 0.000
4.580 1.487 0.000
-4.136 0.000 5.547
Cd Ni Cl
1 2 1
Cartesian
0.000 0.000 0.000
2.488 0.000 0.914
2.536 0.000 4.633
-2.068 0.000 2.774
```

Output
DOS at the Fermi energy ... 2.7 states/eV/cell
Formation energy without anion corrections ... 0.032 eV per atom
Total energy ... -3.549 eV/atom
SG ... No. 12
Relative energy among the computed polymorphs ... 0.0 meV/atom

=====

3.
An optimized crystal structure of CdNiOsCl2. Source: Alexandria via LeMat-Bulk, functional PBE-GGA.

Geometry as POSCAR:
```
CdNiOsCl2
1.0
4.894 0.000 0.000
0.000 4.894 0.000
0.000 0.000 5.842
Cd Ni Os Cl
1 1 1 2
Cartesian
0.000 0.000 0.000
2.447 2.447 2.921
0.000 0.000 2.921
0.000 2.447 0.000
2.447 0.000 0.000
```

Output
DOS at the Fermi energy ... 5.4 states/eV/cell
Formation energy without anion corrections ... 1.471 eV per atom
Total energy ... -2.853 eV/atom
SG ... No. 123

=====

4.
An optimized crystal structure of CdNiPbCl2. Source: Alexandria via LeMat-Bulk, functional PBE-GGA.

Geometry as POSCAR:
```
CdNiPbCl2
1.0
4.617 0.000 0.000
0.000 4.617 0.000
0.000 0.000 5.586
Cd Ni Pb Cl
1 1 1 2
Cartesian
0.000 0.000 0.000
2.308 2.308 2.793
2.308 2.308 0.000
0.000 2.308 2.793
2.308 0.000 2.793
```

Output
DOS at the Fermi energy ... 1.9 states/eV/cell
Formation energy without anion corrections ... -0.228 eV per atom
Total energy ... -3.048 eV/atom
SG ... No. 123

=====

5.
An optimized crystal structure of RbCdNi2Cl8. Source: Alexandria via LeMat-Bulk, functional PBE-GGA.

Geometry as POSCAR:
```
RbCdNi2Cl8
1.0
3.216 1.857 9.363
-3.216 1.857 9.363
0.000 -3.714 9.363
Rb Cd Ni Cl
1 1 2 8
Cartesian
0.000 0.000 0.000
0.000 0.000 14.044
0.000 0.000 6.867
0.000 0.000 21.222
-2.156 -0.006 12.463
-1.073 -1.871 15.625
0.000 0.000 9.037
1.084 -1.864 12.463
-1.084 1.864 15.625
0.000 0.000 19.052
1.073 1.871 12.463
2.156 0.006 15.625
```

Output
DOS at the Fermi energy ... 7.9 states/eV/cell
Formation energy without anion corrections ... -0.835 eV per atom
Total energy ... -3.187 eV/atom
SG ... No. 148

=====

6.
An optimized crystal structure of Rb2CdNiCl6. Source: Alexandria via LeMat-Bulk, functional PBE-GGA.

Geometry as POSCAR:
```
Rb2CdNiCl6
1.0
3.604 2.081 12.157
-3.604 2.081 12.157
0.000 -4.161 12.157
Rb Cd Ni Cl
4 2 2 12
Cartesian
0.000 0.000 4.551
0.000 0.000 10.731
0.000 0.000 25.739
0.000 0.000 31.919
0.000 0.000 15.035
0.000 0.000 21.436
0.000 0.000 0.000
0.000 0.000 18.235
-1.702 -0.983 16.813
0.000 -2.189 13.577
-1.895 1.094 13.577
-1.895 -1.094 22.893
0.000 -1.966 19.657
-1.702 0.983 19.657
1.702 -0.983 16.813
0.000 1.966 16.813
1.895 1.094 13.577
1.895 -1.094 22.893
0.000 2.189 22.893
1.702 0.983 19.657
```

Output
Formation energy without anion corrections ... -1.277 eV per atom
Total energy ... -3.248 eV/atom
SG ... No. 166

=====

7.
An optimized crystal structure of RbCdNiCl6. Source: Alexandria via LeMat-Bulk, functional PBE-GGA.

Geometry as POSCAR:
```
RbCdNiCl6
1.0
3.401 -5.489 0.000
3.401 5.489 0.000
-0.360 0.000 7.272
Rb Cd Ni Cl
1 1 1 6
Cartesian
0.000 0.000 0.000
3.221 1.933 3.636
3.221 -1.881 3.636
2.386 -0.275 2.322
1.202 -2.021 5.161
2.210 -3.419 2.344
4.055 -0.275 4.950
4.231 -3.419 4.929
5.239 -2.021 2.111
```

Output
Formation energy without anion corrections ... -1.000 eV per atom
Total energy ... -3.082 eV/atom
SG ... No. 5

=====

8.
An optimized crystal structure of CdNiSCl2. Source: Alexandria via LeMat-Bulk, functional PBE-GGA.

Geometry as POSCAR:
```
CdNiSCl2
1.0
4.515 0.000 0.000
0.000 4.515 0.000
0.000 0.000 4.845
Cd Ni S Cl
1 1 1 2
Cartesian
0.000 0.000 0.000
2.258 2.258 2.422
2.258 2.258 0.000
0.000 2.258 2.422
2.258 0.000 2.422
```

Output
DOS at the Fermi energy ... 3.5 states/eV/cell
Formation energy without anion corrections ... -0.194 eV per atom
Total energy ... -3.097 eV/atom
SG ... No. 123
Relative energy among the computed polymorphs ... 0.0 meV/atom

=====

Question: Look up the total energy of the sixth one.
Answer: -3.248 eV/atom

=====

Question: The highest formation energy without anion corrections belongs to which entry?
Answer: CdNiOsCl2